1.
# GGA-PBE La2ZnIn2Rh5, relaxed
data_La2ZnIn2Rh5
_space_group_name_H-M_alt 'P 4/m b m'
_space_group_IT_number 127
_space_group_name_Hall '-P 4 2ab'
_cell_length_a 10.4570
_cell_length_b 10.4570
_cell_length_c 3.5776
_cell_angle_alpha 90.00
_cell_angle_beta 90.00
_cell_angle_gamma 90.00
loop_
_atom_site_label
_atom_site_type_symbol
_atom_site_fract_x
_atom_site_fract_y
_atom_site_fract_z
La1 La 0.1687 0.3313 0.0000
Zn1 Zn 0.0000 0.0000 0.0000
In1 In 0.1320 0.6320 0.0000
Rh1 Rh 0.0000 0.5000 0.5000
Rh2 Rh 0.0406 0.8047 0.5000
# **Volume**: 391.2 Å³/cell
# **Energy of formation**: -0.379 eV per atom
# **Magnetic moment**: 0.0 μB per cell
# **Crystal system**: tetragonal


2.
# GGA-PBE La6InRu2, relaxed
data_La6InRu2
_space_group_name_H-M_alt 'C 1 2/m 1'
_space_group_IT_number 12
_cell_length_a 10.8426
_cell_length_b 5.2222
_cell_length_c 9.4321
_cell_angle_alpha 90.00
_cell_angle_beta 97.28
_cell_angle_gamma 90.00
loop_
_space_group_symop_operation_xyz
'x,y,z'
'-x,-y,-z'
'-x,y,-z'
'x,-y,z'
'x+1/2,y+1/2,z'
'-x+1/2,-y+1/2,-z'
'-x+1/2,y+1/2,-z'
'x+1/2,-y+1/2,z'
loop_
_atom_site_label
_atom_site_type_symbol
_atom_site_fract_x
_atom_site_fract_y
_atom_site_fract_z
La1 La 0.0777 0.0000 0.3540
La2 La 0.1142 0.5000 0.6641
La3 La 0.1981 0.5000 0.1166
In1 In 0.0000 0.0000 0.0000
Ru1 Ru 0.2307 0.5000 0.3843
# **Volume**: 529.8 Å³/cell
# **Energy of formation**: -0.288 eV per atom
# **Magnetic moment**: 0.0 μB per cell
# **Crystal system**: monoclinic


3.
# GGA-PBE La2InRu, relaxed
data_La2InRu
_space_group_name_H-M_alt 'A m m 2'
_space_group_IT_number 38
_cell_length_a 3.9121
_cell_length_b 4.9394
_cell_length_c 11.5341
_cell_angle_alpha 90.00
_cell_angle_beta 90.00
_cell_angle_gamma 90.00
loop_
_space_group_symop_operation_xyz
'x,y,z'
'-x,-y,z'
'-x,y,z'
'x,-y,z'
'x,y+1/2,z+1/2'
'-x,-y+1/2,z+1/2'
'-x,y+1/2,z+1/2'
'x,-y+1/2,z+1/2'
loop_
_atom_site_label
_atom_site_type_symbol
_atom_site_fract_x
_atom_site_fract_y
_atom_site_fract_z
La1 La 0.0000 0.0000 0.0000
La2 La 0.5000 0.0000 0.3086
In1 In 0.5000 0.0000 0.6091
Ru1 Ru 0.0000 0.0000 0.7905
# **Volume**: 222.9 Å³/cell
# **Energy of formation**: -0.357 eV per atom
# **Magnetic moment**: 0.0 μB per cell
# **Crystal system**: orthorhombic